The following is a DFT calculation (PBE-GGA) of an optimized crystal structure of CaAc2Ge4Au3.

Its total energy is -4.472 eV/atom. As for the formation energy: -620 meV/atom. The size of the total moment comes out at 0.000 μB/atom. Its crystal system is tetragonal.

The structure belongs to space group P-4m2 (No. 115); the cell edges are 4.574, 4.574 and 11.470 Å and the angles 90.00°, 90.00° and 90.00°. Symmetry generates all atoms from Ca at (0.000, 0.000, 0.000), Ac at (0.000, 0.500, 0.732), Ge at (0.000, 0.000, 0.500), Ge at (0.000, 0.500, 0.155), Ge at (0.500, 0.500, 0.500), Au at (0.000, 0.500, 0.380) and Au at (0.500, 0.500, 0.000).

The following is a DFT calculation (PBE-GGA) of an optimized crystal structure of KNaSrI4.

Its total energy is -2.961 eV/atom. The size of the total moment comes out at 0.000 μB/atom. Its crystal system is orthorhombic.

The structure belongs to space group Imma (No. 74); the cell edges are 9.625, 9.956 and 14.493 Å and the angles 90.00°, 90.00° and 90.00°. Symmetry generates all atoms from K at (0.000, 0.250, 0.141), Na at (0.250, 0.250, 0.750), Sr at (0.000, 0.000, 0.500), I at (0.000, 0.029, 0.727) and I at (0.230, 0.250, 0.513).

The following is a DFT calculation (PBE-GGA) of an optimized crystal structure of TlHg2TeI8.

Its total energy is -1.777 eV/atom. The size of the total moment comes out at 0.000 μB/atom. Its crystal system is triclinic.

The structure belongs to space group P-1 (No. 2); the cell edges are 7.482, 8.383 and 9.775 Å and the angles 80.93°, 77.68° and 89.13°. Symmetry generates all atoms from Tl at (0.000, 0.000, 0.000), Hg at (0.494, 0.437, 0.713), Te at (0.000, 0.000, 0.500), I at (0.188, 0.817, 0.707), I at (0.271, 0.352, 0.969), I at (0.271, 0.357, 0.489) and I at (0.272, 0.891, 0.267).

The following is a DFT calculation (PBE-GGA) of an optimized crystal structure of LaDy8Tm3.

Its total energy is -4.583 eV/atom. As for the formation energy: 14 meV/atom. The size of the total moment comes out at 0.000 μB/atom. Its crystal system is orthorhombic.

The structure belongs to space group Imm2 (No. 44); the cell edges are 10.861, 11.289 and 6.266 Å and the angles 90.00°, 90.00° and 90.00°. Symmetry generates all atoms from La at (0.000, 0.000, 0.000), Dy at (0.164, 0.500, 0.501), Dy at (0.167, 0.253, 0.835), Dy at (0.169, 0.000, 0.503), Tm at (0.000, 0.252, 0.335) and Tm at (0.000, 0.500, 0.003).

The following is a DFT calculation (PBE-GGA) of an optimized crystal structure of KBaMg2Rh.

Its total energy is -2.784 eV/atom. As for the formation energy: -72 meV/atom. The size of the total moment comes out at 0.000 μB/atom. Its crystal system is tetragonal.

The structure belongs to space group P4/mmm (No. 123); the cell edges are 5.335, 5.335 and 5.873 Å and the angles 90.00°, 90.00° and 90.00°. Symmetry generates all atoms from K at (0.000, 0.000, 0.000), Ba at (0.500, 0.500, 0.000), Mg at (0.000, 0.500, 0.500) and Rh at (0.500, 0.500, 0.500).

The following is a DFT calculation (PBE-GGA) of an optimized crystal structure of TbPa3Os2.

Its total energy is -9.477 eV/atom. As for the formation energy: -214 meV/atom. The size of the total moment comes out at 0.000 μB/atom. Its crystal system is monoclinic.

The structure belongs to space group C2/m (No. 12); the cell edges are 16.090, 4.551 and 8.389 Å and the angles 90.00°, 118.05° and 90.00°. Symmetry generates all atoms from Tb at (0.112, 0.000, 0.036), Pa at (0.062, 0.000, 0.412), Pa at (0.127, 0.500, 0.697), Pa at (0.210, 0.500, 0.367), Os at (0.021, 0.500, 0.197) and Os at (0.236, 0.000, 0.880).

Please write out number 4 again, unchanged.
The following is a DFT calculation (PBE-GGA) of an optimized crystal structure of LaDy8Tm3.

Its total energy is -4.583 eV/atom. As for the formation energy: 14 meV/atom. The size of the total moment comes out at 0.000 μB/atom. Its crystal system is orthorhombic.

The structure belongs to space group Imm2 (No. 44); the cell edges are 10.861, 11.289 and 6.266 Å and the angles 90.00°, 90.00° and 90.00°. Symmetry generates all atoms from La at (0.000, 0.000, 0.000), Dy at (0.164, 0.500, 0.501), Dy at (0.167, 0.253, 0.835), Dy at (0.169, 0.000, 0.503), Tm at (0.000, 0.252, 0.335) and Tm at (0.000, 0.500, 0.003).

What is the formula in the first record?
CaAc2Ge4Au3

Number 4 is which compound?
LaDy8Tm3